DFT (PBE) results for a relaxed Th2NiP3Rh12 crystal.

E_form (eV/atom): -0.309
Raw total energy (eV per formula unit): -130.64
Total magnetization (μB per cell): 0.2
Space-group type: R-3m

a b c (Å): 7.044 7.044 7.044
angles (deg): 73.35 73.35 73.35
Sites, in units of the cell vectors:
Th 0.113 0.113 0.113
Th 0.887 0.887 0.887
Ni 0.500 0.500 0.500
P 0.000 0.500 0.500
P 0.500 0.000 0.500
P 0.500 0.500 0.000
Rh 0.140 0.647 0.647
Rh 0.164 0.164 0.591
Rh 0.164 0.591 0.164
Rh 0.353 0.353 0.860
Rh 0.353 0.860 0.353
Rh 0.409 0.836 0.836
Rh 0.591 0.164 0.164
Rh 0.647 0.140 0.647
Rh 0.647 0.647 0.140
Rh 0.836 0.409 0.836
Rh 0.836 0.836 0.409
Rh 0.860 0.353 0.353


DFT (PBE) results for a relaxed Nd2Mg3Ir2 crystal.

E_form (eV/atom): -0.443
Raw total energy (eV per formula unit): -35.14
Total magnetization (μB per cell): 0.0
Space-group type: C2/m

a b c (Å): 5.664 5.664 7.160
angles (deg): 98.12 98.12 44.87
Sites, in units of the cell vectors:
Nd 0.126 0.126 0.367
Nd 0.874 0.874 0.633
Mg 0.183 0.183 0.867
Mg 0.500 0.500 0.000
Mg 0.817 0.817 0.133
Ir 0.409 0.409 0.342
Ir 0.591 0.591 0.658


DFT (PBE) results for a relaxed Hf3TcC crystal.

E_form (eV/atom): -0.279
Raw total energy (eV per formula unit): -50.84
Total magnetization (μB per cell): 0.0
Space-group type: Pm-3m

a b c (Å): 4.437 4.437 4.437
angles (deg): 90.00 90.00 90.00
Sites, in units of the cell vectors:
Hf 0.000 0.000 0.500
Hf 0.000 0.500 0.000
Hf 0.500 0.000 0.000
Tc 0.500 0.500 0.500
C 0.000 0.000 0.000


DFT (PBE) results for a relaxed Hg2SbOs crystal.

Raw total energy (eV per formula unit): -12.61
Total magnetization (μB per cell): 0.2
Space-group type: R-3m
E_form (uncorrected) (meV/atom): 837

a b c (Å): 10.259 10.259 10.259
angles (deg): 17.46 17.46 17.46
Sites, in units of the cell vectors:
Hg 0.241 0.241 0.241
Hg 0.759 0.759 0.759
Sb 0.000 0.000 0.000
Os 0.500 0.500 0.500


DFT (PBE) results for a relaxed LiGa6Cu2 crystal.

E_form (eV/atom): -0.108
Raw total energy (eV per formula unit): -29.24
Total magnetization (μB per cell): 0.0
Space-group type: P-3m1

a b c (Å): 4.197 4.197 9.676
angles (deg): 90.00 90.00 120.00
Sites, in units of the cell vectors:
Li 0.000 0.000 0.000
Ga 0.000 0.000 0.288
Ga 0.000 0.000 0.712
Ga 0.333 0.667 0.438
Ga 0.333 0.667 0.894
Ga 0.667 0.333 0.106
Ga 0.667 0.333 0.562
Cu 0.333 0.667 0.172
Cu 0.667 0.333 0.828


DFT (PBE) results for a relaxed MgSiN2 crystal.

Raw total energy (eV per formula unit): -24.58
Total magnetization (μB per cell): 0.0
Space-group type: R-3m
E_form (uncorrected) (meV/atom): -229

a b c (Å): 6.046 6.046 6.046
angles (deg): 28.14 28.14 28.14
Sites, in units of the cell vectors:
Mg 0.000 0.000 0.000
Si 0.500 0.500 0.500
N 0.112 0.112 0.112
N 0.888 0.888 0.888


DFT (PBE) results for a relaxed Mg2Tc3 crystal.

E_form (eV/atom): 0.151
Raw total energy (eV per formula unit): -33.53
Total magnetization (μB per cell): 0.0
Space-group type: I4/mmm

a b c (Å): 9.566 9.566 9.566
angles (deg): 162.12 162.12 25.39
Sites, in units of the cell vectors:
Mg 0.187 0.187 0.000
Mg 0.813 0.813 0.000
Tc 0.000 0.000 0.000
Tc 0.413 0.413 0.000
Tc 0.587 0.587 0.000


DFT (PBE) results for a relaxed TmSi2Pt2 crystal.

Raw total energy (eV per formula unit): -32.44
Total magnetization (μB per cell): 0.0
Space-group type: I4/mmm
E_form (uncorrected) (meV/atom): -1009

a b c (Å): 5.705 5.705 5.705
angles (deg): 136.87 136.87 62.64
Sites, in units of the cell vectors:
Tm 0.000 0.000 0.000
Si 0.382 0.382 0.000
Si 0.618 0.618 0.000
Pt 0.250 0.750 0.500
Pt 0.750 0.250 0.500